[1]
First-principles (PBE-GGA) data for a relaxed structure of Re2SiAg, as listed in Alexandria via LeMat-Bulk.

Results
uncorrected formation energy: 237 meV per atom
E: -32.22 eV per formula unit

```
Re2SiAg
1.0
2.931 0.000 0.000
0.000 2.931 0.000
0.000 0.000 7.070
Re Si Ag
2 1 1
direct
0.000 0.000 0.000 Re
0.500 0.500 0.239 Re
0.000 0.000 0.446 Si
0.500 0.500 0.701 Ag
```



[2]
First-principles (PBE-GGA) data for a relaxed structure of Mg2AlSn, as listed in Alexandria via LeMat-Bulk.

Results
E: -10.18 eV per formula unit

```
Mg2AlSn
1.0
1.623 0.937 10.621
-1.623 0.937 10.621
0.000 -1.874 10.621
Mg Al Sn
2 1 1
direct
0.088 0.088 0.088 Mg
0.912 0.912 0.912 Mg
0.000 0.000 0.000 Al
0.500 0.500 0.500 Sn
```



[3]
First-principles (PBE-GGA) data for a relaxed structure of TlSnGeOs2, as listed in Alexandria via LeMat-Bulk.

Results
E: -26.47 eV per formula unit

```
TlSnGeOs2
1.0
4.684 0.000 0.000
0.000 4.684 0.000
0.000 0.000 5.261
Tl Sn Ge Os
1 1 1 2
direct
0.000 0.000 0.000 Tl
0.500 0.500 0.000 Sn
0.500 0.500 0.500 Ge
0.000 0.500 0.500 Os
0.500 0.000 0.500 Os
```



[4]
First-principles (PBE-GGA) data for a relaxed structure of Ce3Sc2PaAs6, as listed in Alexandria via LeMat-Bulk.

Results
E: -83.86 eV per formula unit

```
Ce3Sc2PaAs6
1.0
3.535 -6.124 0.000
3.535 6.124 0.000
-2.362 0.000 6.716
Ce Sc Pa As
3 2 1 6
direct
0.000 0.000 0.000 Ce
0.335 0.665 0.000 Ce
0.665 0.335 0.000 Ce
0.167 0.833 0.500 Sc
0.833 0.167 0.500 Sc
0.500 0.500 0.500 Pa
0.084 0.422 0.267 As
0.238 0.238 0.731 As
0.422 0.084 0.267 As
0.578 0.916 0.733 As
0.762 0.762 0.269 As
0.916 0.578 0.733 As
```



Q: E of number 3 (TlSnGeOs2)?
A: -26.47 eV per formula unit



Copy entry 4 word for word.
First-principles (PBE-GGA) data for a relaxed structure of Ce3Sc2PaAs6, as listed in Alexandria via LeMat-Bulk.

Results
E: -83.86 eV per formula unit

```
Ce3Sc2PaAs6
1.0
3.535 -6.124 0.000
3.535 6.124 0.000
-2.362 0.000 6.716
Ce Sc Pa As
3 2 1 6
direct
0.000 0.000 0.000 Ce
0.335 0.665 0.000 Ce
0.665 0.335 0.000 Ce
0.167 0.833 0.500 Sc
0.833 0.167 0.500 Sc
0.500 0.500 0.500 Pa
0.084 0.422 0.267 As
0.238 0.238 0.731 As
0.422 0.084 0.267 As
0.578 0.916 0.733 As
0.762 0.762 0.269 As
0.916 0.578 0.733 As
```



What did the second record say?
First-principles (PBE-GGA) data for a relaxed structure of Mg2AlSn, as listed in Alexandria via LeMat-Bulk.

Results
E: -10.18 eV per formula unit

```
Mg2AlSn
1.0
1.623 0.937 10.621
-1.623 0.937 10.621
0.000 -1.874 10.621
Mg Al Sn
2 1 1
direct
0.088 0.088 0.088 Mg
0.912 0.912 0.912 Mg
0.000 0.000 0.000 Al
0.500 0.500 0.500 Sn
```